1.
VASP calculation (PBE-GGA) on a geometry-optimized MgCoPS2 structure.

abc: 4.7246 4.7246 4.7573
angles: 90.00 90.00 90.00
With the nearest neighbours (Å) after each atom.
Atoms (fractional coordinates):
Mg  0.0000  0.0000  0.0000  4 S 2.36, 2 P 2.38
Co  0.5000  0.5000  0.5000  4 P 3.34, 8 S 3.35
P  0.0000  0.0000  0.5000  2 Mg 2.38
S  0.0000  0.5000  0.0000  2 Mg 2.36
S  0.5000  0.0000  0.0000  2 Mg 2.36

**Space-group type**: P4/mmm, No. 123
**Polymorph energy (0 for the lowest one)**: 4.42 eV per formula unit

2.
VASP calculation (PBE-GGA) on a geometry-optimized BaLaY2 structure.

abc: 6.4993 6.4993 6.6554
angles: 98.30 98.30 33.39
With the nearest neighbours (Å) after each atom.
Atoms (fractional coordinates):
Ba  0.0000  0.0000  0.0000  7 Y 3.70-3.89, 2 Ba 3.73, 3 La 3.84-3.91
La  0.7539  0.7539  0.2850  5 Y 3.57-3.69, 2 La 3.73, 3 Ba 3.84-3.91
Y  0.2420  0.2420  0.7375  2 La 3.57, 5 Y 3.69-3.78, 3 Ba 3.70-3.89
Y  0.4996  0.4996  0.5013  3 La 3.67-3.69, 5 Y 3.69-3.78, 4 Ba 3.81-3.82

**Space-group type**: Cm, No. 8
**Polymorph energy (0 for the lowest one)**: 0.19 eV per formula unit

3.
VASP calculation (PBE-GGA) on a geometry-optimized CePaRh structure.

abc: 4.6316 4.4317 6.9988
angles: 90.00 96.65 90.00
With the nearest neighbours (Å) after each atom.
Atoms (fractional coordinates):
Ce  0.2192  0.2500  0.3600  1 Rh 2.71, 1 Pa 2.84
Ce  0.7808  0.7500  0.6400  1 Rh 2.71, 1 Pa 2.84
Pa  0.1971  0.7500  0.9717  3 Rh 2.71-2.84, 1 Ce 2.84, 2 Pa 2.93
Pa  0.8029  0.2500  0.0283  3 Rh 2.71-2.84, 1 Ce 2.84, 2 Pa 2.93
Rh  0.3466  0.2500  0.7485  3 Pa 2.71-2.84, 1 Ce 2.71
Rh  0.6534  0.7500  0.2515  3 Pa 2.71-2.84, 1 Ce 2.71

**Space-group type**: P2_1/m, No. 11
**Polymorph energy (0 for the lowest one)**: 0.00 eV per formula unit

4.
VASP calculation (PBE-GGA) on a geometry-optimized MnZn4Hg structure.

abc: 5.1571 5.1571 5.1571
angles: 60.00 60.00 60.00
With the nearest neighbours (Å) after each atom.
Atoms (fractional coordinates):
Mn  0.0000  0.0000  0.0000  12 Zn 3.02, 4 Hg 3.16
Zn  0.1223  0.6259  0.6259  6 Zn 2.56-2.60
Zn  0.6259  0.1223  0.6259  6 Zn 2.56-2.60
Zn  0.6259  0.6259  0.1223  6 Zn 2.56-2.60
Zn  0.6259  0.6259  0.6259  6 Zn 2.56-2.60
Hg  0.2500  0.2500  0.2500  12 Zn 3.03, 4 Mn 3.16

**Space-group type**: F-43m, No. 216
**Final energy**: -2.26 eV/atom

5.
VASP calculation (PBE-GGA) on a geometry-optimized CoWAu2 structure.

abc: 4.8491 4.8491 2.7530
angles: 90.00 90.00 90.00
With the nearest neighbours (Å) after each atom.
Atoms (fractional coordinates):
Co  0.0000  0.0000  0.0000  2 Co 2.75, 8 Au 2.79
W  0.5000  0.5000  0.0000  2 W 2.75, 8 Au 2.79
Au  0.0000  0.5000  0.5000  2 Au 2.75, 4 W 2.79, 4 Co 2.79
Au  0.5000  0.0000  0.5000  2 Au 2.75, 4 W 2.79, 4 Co 2.79

**Space-group type**: P4/mmm, No. 123
**Polymorph energy (0 for the lowest one)**: 1.40 eV per formula unit

6.
VASP calculation (PBE-GGA) on a geometry-optimized HgBiS2I structure.

abc: 10.2777 4.3679 10.5763
angles: 90.00 117.24 90.00
With the nearest neighbours (Å) after each atom.
Atoms (fractional coordinates):
Hg  0.1282  0.2500  0.1193  3 S 2.50-2.74
Hg  0.8718  0.7500  0.8807  3 S 2.50-2.74
Bi  0.4642  0.7500  0.3233  3 S 2.71-2.85
Bi  0.5358  0.2500  0.6767  3 S 2.71-2.85
S  0.1837  0.7500  0.0391  2 Hg 2.50
S  0.3355  0.2500  0.3986  3 Bi 2.71-2.85, 1 Hg 2.74
S  0.6645  0.7500  0.6014  3 Bi 2.71-2.85, 1 Hg 2.74
S  0.8163  0.2500  0.9609  2 Hg 2.50
I  0.3713  0.7500  0.7635  2 Bi 3.14
I  0.6287  0.2500  0.2365  2 Bi 3.14

**Space-group type**: P2_1/m, No. 11
**Polymorph energy (0 for the lowest one)**: 0.00 eV per formula unit

Number 1: V 21.238 Å³/atom. Number 2: V 38.234 Å³/atom. Number 3: V 23.782 Å³/atom. Number 4: V 16.164 Å³/atom. Number 5: V 16.183 Å³/atom. Number 6: V 42.214 Å³/atom.